Crystalline La4IrOs at its relaxed geometry. Source: Alexandria via LeMat-Bulk, functional PBE. Values from VASP.

Summary:
**E above lowest polymorph**: 0.000 eV per formula unit
**Formation energy**: -0.3833 eV per atom
**Symmetry**: Cmmm

Geometry as Quantum ESPRESSO input:
```
&SYSTEM
  ibrav = 0, nat = 6, ntyp = 3
/
ATOMIC_SPECIES
Ir 192.22 Ir.upf
Os 190.23 Os.upf
La 138.91 La.upf
CELL_PARAMETERS angstrom
4.353 0.000 0.000
0.000 6.782 0.031
0.000 0.020 6.782
ATOMIC_POSITIONS crystal
Ir 0.000 0.500 0.500
Os 0.500 0.000 0.000
La 0.000 0.195 0.195
La 0.000 0.805 0.805
La 0.500 0.300 0.700
La 0.500 0.700 0.300
```

---

Crystalline Pm6PC2Br3 at its relaxed geometry. Source: Alexandria via LeMat-Bulk, functional PBE. Values from VASP.

Summary:
**Formation energy (no corrections)**: -1102.1 meV/atom
**Symmetry**: C2/m

Geometry as Quantum ESPRESSO input:
```
&SYSTEM
  ibrav = 0, nat = 12, ntyp = 4
/
ATOMIC_SPECIES
Pm 145.00 Pm.upf
Br 79.90 Br.upf
C 12.01 C.upf
P 30.97 P.upf
CELL_PARAMETERS angstrom
6.766 -0.001 0.000
-3.383 5.860 0.000
-1.129 -1.954 7.368
ATOMIC_POSITIONS crystal
Pm 0.062 0.418 0.187
Pm 0.582 0.938 0.813
Pm 0.938 0.582 0.813
Br 0.164 0.836 0.500
C 0.333 0.667 0.000
Pm 0.707 0.707 0.186
Br 0.836 0.164 0.500
Pm 0.418 0.062 0.187
Br 0.500 0.500 0.500
P 0.000 0.000 0.000
C 0.667 0.333 0.000
Pm 0.293 0.293 0.814
```

---

Crystalline HfPd9Pb2 at its relaxed geometry. Source: Alexandria via LeMat-Bulk, functional PBE. Values from VASP.

Summary:
**Formation energy**: -0.4954 eV per atom
**Symmetry**: P4/mmm

Geometry as Quantum ESPRESSO input:
```
&SYSTEM
  ibrav = 0, nat = 12, ntyp = 3
/
ATOMIC_SPECIES
Pb 207.20 Pb.upf
Pd 106.42 Pd.upf
Hf 178.49 Hf.upf
CELL_PARAMETERS angstrom
-1.301 -3.841 -0.329
1.851 -0.927 3.502
-10.210 2.929 6.170
ATOMIC_POSITIONS crystal
Pb 0.000 0.000 0.669
Pd 0.000 0.500 0.158
Pd 0.500 0.000 0.842
Pd 0.000 0.500 0.500
Pb 0.000 0.000 0.331
Pd 0.500 0.500 0.669
Pd 0.500 0.500 0.331
Pd 0.500 0.000 0.158
Pd 0.000 0.500 0.842
Pd 0.500 0.500 0.000
Pd 0.500 0.000 0.500
Hf 0.000 0.000 0.000
```

---

Crystalline Rb2BiRh at its relaxed geometry. Source: Alexandria via LeMat-Bulk, functional PBE. Values from VASP.

Summary:
**Formation energy**: 0.0734 eV per atom
**Symmetry**: I-42d

Geometry as Quantum ESPRESSO input:
```
&SYSTEM
  ibrav = 0, nat = 8, ntyp = 3
/
ATOMIC_SPECIES
Rb 85.47 Rb.upf
Rh 102.91 Rh.upf
Bi 208.98 Bi.upf
CELL_PARAMETERS angstrom
-6.047 8.276 7.682
5.173 -5.716 10.229
1.579 2.873 8.826
ATOMIC_POSITIONS crystal
Rb 0.439 0.125 0.250
Rb 0.311 0.625 0.250
Rh 0.250 0.750 0.500
Rh 0.500 0.500 0.000
Bi 0.750 0.250 0.500
Rb 0.375 0.561 0.750
Bi 0.000 0.000 0.000
Rb 0.875 0.689 0.750
```

---

Crystalline K4SbPt5 at its relaxed geometry. Source: Alexandria via LeMat-Bulk, functional PBE. Values from VASP.

Summary:
**Formation energy (no corrections)**: 94.5 meV/atom
**Symmetry**: C2

Geometry as Quantum ESPRESSO input:
```
&SYSTEM
  ibrav = 0, nat = 10, ntyp = 3
/
ATOMIC_SPECIES
K 39.10 K.upf
Pt 195.08 Pt.upf
Sb 121.76 Sb.upf
CELL_PARAMETERS angstrom
-4.182 -3.221 3.272
-1.623 -7.019 -3.084
3.205 -4.536 5.528
ATOMIC_POSITIONS crystal
K 0.357 0.794 0.407
Pt 0.008 0.125 0.760
Pt 0.134 0.759 0.875
Pt 0.628 0.000 0.000
K 0.558 0.206 0.593
Sb 0.230 0.000 0.000
K 0.764 0.593 0.794
K 0.151 0.407 0.206
Pt 0.893 0.875 0.241
Pt 0.767 0.241 0.125
```

---

Crystalline CoTcSe2 at its relaxed geometry. Source: Alexandria via LeMat-Bulk, functional PBE. Values from VASP.

Summary:
**E above lowest polymorph**: 1.977 eV per formula unit
**Formation energy (no corrections)**: 222.7 meV/atom
**Symmetry**: Fm-3m

Geometry as Quantum ESPRESSO input:
```
&SYSTEM
  ibrav = 0, nat = 4, ntyp = 3
/
ATOMIC_SPECIES
Se 78.96 Se.upf
Tc 98.00 Tc.upf
Co 58.93 Co.upf
CELL_PARAMETERS angstrom
0.000 3.096 3.096
3.096 0.000 3.096
3.096 3.096 0.000
ATOMIC_POSITIONS crystal
Se 0.250 0.250 0.250
Se 0.750 0.750 0.750
Tc 0.500 0.500 0.500
Co 0.000 0.000 0.000
```

---

no.,uncorrected energy (eV/atom),N(E_F) (states/eV/f.u.)
1,-7.0167,4.03
2,-5.8838,3.91
3,-5.8375,1.51
4,-3.2185,3.44
5,-3.7771,4.18
6,-5.8876,2.30